Model a:
Crystalline InFeTe at its relaxed geometry. Source: Alexandria via LeMat-Bulk, functional PBE.

Calculated values
The space group is P3m1, No. 156. The calculation puts the density of states at the Fermi level at 2.9 states/eV/cell.

Geometry as POSCAR:
```
InFeTe
1.0
3.515 0.000 0.000
-1.757 3.044 0.000
0.000 0.000 6.132
Fe In Te
1 1 1
Direct
0.000 0.000 0.986
0.667 0.333 0.285
0.333 0.667 0.730
```

Model b:
Crystalline InFeTe at its relaxed geometry. Source: Alexandria via LeMat-Bulk, functional PBE.

Calculated values
The space group is F-43m, No. 216. The calculation puts the density of states at the Fermi level at 4.2 states/eV/cell.

Geometry as POSCAR:
```
InFeTe
1.0
-1.654 -1.122 -4.114
-4.233 -1.690 -0.380
-3.308 2.523 -1.901
Fe In Te
1 1 1
Direct
0.750 0.750 0.750
0.000 0.000 0.000
0.500 0.500 0.500
```

Stability ranking, top and bottom: model a is the most stable and model b is the least stable.

Model a:
Crystalline Th4InFe at its relaxed geometry. Source: Alexandria via LeMat-Bulk, functional PBE.

Calculated values
The space group is C2/c, No. 15. The calculation puts the density of states at the Fermi level at 16.9 states/eV/cell.

Geometry as POSCAR:
```
Th4InFe
1.0
-2.944 -0.043 -5.313
0.949 -8.471 3.272
-4.570 4.823 4.100
Th In Fe
8 2 2
Direct
0.391 0.947 0.667
0.941 0.812 0.195
0.224 0.280 0.333
0.246 0.617 0.805
0.609 0.053 0.333
0.776 0.720 0.667
0.059 0.188 0.805
0.754 0.383 0.195
0.365 0.615 0.231
0.635 0.385 0.769
0.748 0.998 0.995
0.252 0.002 0.005
```

Model b:
Crystalline Th4InFe at its relaxed geometry. Source: Alexandria via LeMat-Bulk, functional PBE.

Calculated values
The space group is F-43m, No. 216. The calculation puts the density of states at the Fermi level at 30.4 states/eV/cell.

Geometry as POSCAR:
```
Th4InFe
1.0
-7.429 -2.832 -5.669
-2.494 -9.431 -0.431
-8.352 -3.032 4.050
Th In Fe
16 4 4
Direct
0.406 0.406 0.406
0.783 0.406 0.406
0.406 0.783 0.406
0.406 0.406 0.783
0.558 0.558 0.942
0.942 0.942 0.558
0.558 0.942 0.558
0.942 0.558 0.942
0.942 0.558 0.558
0.558 0.942 0.942
0.188 0.188 0.812
0.812 0.812 0.188
0.188 0.812 0.188
0.812 0.188 0.812
0.812 0.188 0.188
0.188 0.812 0.812
0.170 0.170 0.170
0.490 0.170 0.170
0.170 0.490 0.170
0.170 0.170 0.490
0.612 0.612 0.612
0.163 0.612 0.612
0.612 0.163 0.612
0.612 0.612 0.163
```

Stability ranking, top and bottom: model b is the most stable and model a is the least stable.

Model a:
Crystalline Tm3InFe8 at its relaxed geometry. Source: Alexandria via LeMat-Bulk, functional PBE.

Calculated values
The space group is R3m, No. 160. The calculation puts the density of states at the Fermi level at 12.1 states/eV/cell.

Geometry as POSCAR:
```
Tm3InFe8
1.0
5.056 0.000 0.000
2.528 4.379 0.000
2.528 1.460 8.261
Tm In Fe
3 1 8
Direct
0.375 0.375 0.874
0.998 0.998 0.006
0.502 0.502 0.495
0.874 0.874 0.377
0.937 0.437 0.189
0.438 0.938 0.686
0.437 0.437 0.189
0.938 0.938 0.686
0.187 0.187 0.440
0.688 0.688 0.935
0.437 0.937 0.189
0.938 0.438 0.686
```

Model b:
Crystalline Tm3InFe8 at its relaxed geometry. Source: Alexandria via LeMat-Bulk, functional PBE.

Calculated values
The space group is P3m1, No. 156. The calculation puts the density of states at the Fermi level at 12.5 states/eV/cell.

Geometry as POSCAR:
```
Tm3InFe8
1.0
-3.998 2.541 -1.822
-0.480 -2.817 4.194
2.046 6.534 4.623
Tm In Fe
3 1 8
Direct
0.667 0.333 0.443
0.667 0.333 0.064
0.000 0.000 0.930
0.000 0.000 0.559
0.333 0.667 0.498
0.333 0.667 0.002
0.499 0.998 0.749
0.499 0.501 0.749
0.002 0.501 0.749
0.167 0.333 0.252
0.167 0.833 0.252
0.667 0.833 0.252
```

Stability ranking, top and bottom: model a is the most stable and model b is the least stable.

Model a:
Crystalline VIn3Fe at its relaxed geometry. Source: Alexandria via LeMat-Bulk, functional PBE.

Calculated values
The space group is Pm-3m, No. 221. The calculation puts the density of states at the Fermi level at 5.8 states/eV/cell.

Geometry as POSCAR:
```
VIn3Fe
1.0
-2.075 -0.740 -4.396
-0.486 -4.783 1.035
-4.432 0.872 1.945
In Fe V
3 1 1
Direct
0.000 0.500 0.000
0.000 0.000 0.500
0.500 0.000 0.000
0.000 0.000 0.000
0.500 0.500 0.500
```

Model b:
Crystalline VIn3Fe at its relaxed geometry. Source: Alexandria via LeMat-Bulk, functional PBE.

Calculated values
The space group is Pm-3m, No. 221. The calculation puts the density of states at the Fermi level at 8.7 states/eV/cell.

Geometry as POSCAR:
```
VIn3Fe
1.0
5.124 0.000 0.000
0.000 5.124 0.000
0.000 0.000 5.124
In Fe V
3 1 1
Direct
0.000 0.500 0.000
0.000 0.000 0.500
0.500 0.000 0.000
0.500 0.500 0.500
0.000 0.000 0.000
```

Stability ranking, top and bottom: model a is the most stable and model b is the least stable.